# 1
NaC3Se after structural relaxation. Source: Alexandria via LeMat-Bulk, functional PBE-GGA.

```
NaC3Se
1.0
4.068 0.000 0.000
0.000 4.068 0.000
0.000 0.000 4.068
Na C Se
1 3 1
direct
0.000 0.000 0.000
0.000 0.500 0.500
0.500 0.000 0.500
0.500 0.500 0.000
0.500 0.500 0.500
```

Results
- space group = Pm-3m
- energy relative to the elements, uncorrected (meV per atom) = 2671
- magnetic moment (μB per atom) = 0.000

---

# 2
KRb4Hg5 after structural relaxation. Source: Alexandria via LeMat-Bulk, functional PBE-GGA.

```
KRb4Hg5
1.0
-6.036 6.036 3.136
6.036 -6.036 3.136
6.036 6.036 -3.136
K Rb Hg
1 4 5
direct
0.000 0.000 0.000
0.033 0.326 0.707
0.326 0.033 0.707
0.326 0.620 0.293
0.620 0.326 0.293
0.510 0.510 0.000
0.585 0.585 0.617
0.585 0.968 0.000
0.968 0.585 0.000
0.968 0.968 0.383
```

Results
- space group = I4mm
- magnetic moment (μB per atom) = 0.000
- formation energy (eV/atom) = -0.17

---

# 3
MgVRePt2 after structural relaxation. Source: Alexandria via LeMat-Bulk, functional PBE-GGA.

```
MgVRePt2
1.0
4.566 0.000 0.000
0.000 4.566 0.000
0.000 0.000 4.620
Mg V Re Pt
1 1 1 2
direct
0.000 0.000 0.000
0.000 0.000 0.500
0.500 0.500 0.000
0.000 0.500 0.500
0.500 0.000 0.500
```

Results
- space group = P4/mmm
- magnetic moment (μB per atom) = 0.769
- formation energy (eV/atom) = 1.38

---

# 4
KInAu2 after structural relaxation. Source: Alexandria via LeMat-Bulk, functional PBE-GGA.

```
KInAu2
1.0
3.653 0.000 0.000
0.000 3.653 0.000
0.000 0.000 7.760
K In Au
1 1 2
direct
0.000 0.000 0.000
0.500 0.500 0.658
0.000 0.000 0.458
0.500 0.500 0.289
```

Results
- space group = P4mm
- magnetic moment (μB per atom) = 0.000
- formation energy (eV/atom) = -0.13

---

# 5
SiAgSb2 after structural relaxation. Source: Alexandria via LeMat-Bulk, functional PBE-GGA.

```
SiAgSb2
1.0
3.008 0.000 0.000
0.000 3.951 0.000
-0.524 0.000 7.831
Si Ag Sb
1 1 2
direct
0.000 0.000 0.000
0.500 0.000 0.500
0.034 0.500 0.250
0.966 0.500 0.750
```

Results
- space group = P2/m
- energy relative to the elements, uncorrected (meV per atom) = 272
- magnetic moment (μB per atom) = 0.000

---

# 6
BaLiSn2Rh after structural relaxation. Source: Alexandria via LeMat-Bulk, functional PBE-GGA.

```
BaLiSn2Rh
1.0
5.148 0.000 0.000
0.000 5.148 0.000
0.000 0.000 5.100
Ba Li Sn Rh
1 1 2 1
direct
0.000 0.000 0.000
0.500 0.500 0.000
0.000 0.500 0.500
0.500 0.000 0.500
0.500 0.500 0.500
```

Results
- space group = P4/mmm
- magnetic moment (μB per atom) = 0.000
- formation energy (eV/atom) = -0.44

---

# 7
Re2TcOs2 after structural relaxation. Source: Alexandria via LeMat-Bulk, functional PBE-GGA.

```
Re2TcOs2
1.0
7.454 0.000 0.000
0.000 7.454 0.000
0.000 0.000 2.780
Re Tc Os
4 2 4
direct
0.170 0.330 0.000
0.330 0.830 0.000
0.670 0.170 0.000
0.830 0.670 0.000
0.000 0.000 0.500
0.500 0.500 0.500
0.126 0.626 0.500
0.374 0.126 0.500
0.626 0.874 0.500
0.874 0.374 0.500
```

Results
- space group = P4/mbm
- magnetic moment (μB per atom) = 0.000
- formation energy (eV/atom) = 0.27

---

# 8
LaTlN2Cl after structural relaxation. Source: Alexandria via LeMat-Bulk, functional PBE-GGA.

```
LaTlN2Cl
1.0
4.508 0.000 0.000
0.000 4.508 0.000
0.000 0.000 5.013
La Tl N Cl
1 1 2 1
direct
0.000 0.000 0.000
0.500 0.500 0.000
0.000 0.500 0.500
0.500 0.000 0.500
0.500 0.500 0.500
```

Results
- space group = P4/mmm
- energy relative to the elements, uncorrected (meV per atom) = 1457
- magnetic moment (μB per atom) = 0.000

---

# 9
GdSbRh after structural relaxation. Source: Alexandria via LeMat-Bulk, functional PBE-GGA.

```
GdSbRh
1.0
6.595 0.000 0.000
0.000 6.595 0.000
0.000 0.000 6.595
Gd Sb Rh
4 4 4
direct
0.000 0.000 0.000
0.000 0.500 0.500
0.500 0.000 0.500
0.500 0.500 0.000
0.000 0.000 0.500
0.000 0.500 0.000
0.500 0.000 0.000
0.500 0.500 0.500
0.250 0.250 0.750
0.250 0.750 0.250
0.750 0.250 0.250
0.750 0.750 0.750
```

Results
- space group = F-43m
- energy relative to the elements, uncorrected (meV per atom) = -923
- magnetic moment (μB per atom) = 2.489

---

# 10
Ac4Th3ScAs8 after structural relaxation. Source: Alexandria via LeMat-Bulk, functional PBE-GGA.

```
Ac4Th3ScAs8
1.0
4.339 2.505 7.172
-4.339 2.505 7.172
0.000 -5.010 7.172
Ac Th Sc As
4 3 1 8
direct
0.000 0.000 0.000
0.000 0.500 0.500
0.500 0.000 0.500
0.500 0.500 0.000
0.000 0.000 0.500
0.000 0.500 0.000
0.500 0.000 0.000
0.500 0.500 0.500
0.244 0.244 0.244
0.250 0.738 0.738
0.262 0.262 0.750
0.262 0.750 0.262
0.738 0.250 0.738
0.738 0.738 0.250
0.750 0.262 0.262
0.756 0.756 0.756
```

Results
- space group = R-3m
- magnetic moment (μB per atom) = 0.000
- formation energy (eV/atom) = -1.41

---

# 11
LiTh2TlIr after structural relaxation. Source: Alexandria via LeMat-Bulk, functional PBE-GGA.

```
LiTh2TlIr
1.0
8.211 0.000 0.000
0.000 4.006 0.000
-2.709 0.000 7.874
Li Th Tl Ir
2 4 2 2
direct
0.139 0.250 0.070
0.861 0.750 0.930
0.147 0.750 0.409
0.498 0.250 0.783
0.502 0.750 0.217
0.853 0.250 0.591
0.184 0.750 0.834
0.816 0.250 0.166
0.383 0.250 0.391
0.617 0.750 0.609
```

Results
- space group = P2_1/m
- magnetic moment (μB per atom) = 0.000
- formation energy (eV/atom) = -0.45

---

# 12
PuTlPd after structural relaxation. Source: Alexandria via LeMat-Bulk, functional PBE-GGA.

```
PuTlPd
1.0
13.915 0.000 0.000
0.000 3.837 0.000
0.000 0.000 7.929
Pu Tl Pd
6 6 6
direct
0.049 0.000 0.227
0.250 0.000 0.841
0.451 0.000 0.227
0.549 0.000 0.773
0.750 0.000 0.159
0.951 0.000 0.773
0.113 0.500 0.571
0.250 0.500 0.183
0.387 0.500 0.571
0.613 0.500 0.429
0.750 0.500 0.817
0.887 0.500 0.429
0.095 0.500 0.937
0.250 0.000 0.448
0.405 0.500 0.937
0.595 0.500 0.063
0.750 0.000 0.552
0.905 0.500 0.063
```

Results
- space group = Pmma
- magnetic moment (μB per atom) = 0.662
- formation energy (eV/atom) = -0.32

---

# 13
In3HgBr5 after structural relaxation. Source: Alexandria via LeMat-Bulk, functional PBE-GGA.

```
In3HgBr5
1.0
6.643 -5.135 0.000
6.643 5.135 0.000
-4.922 0.000 10.054
In Hg Br
6 2 10
direct
0.000 0.000 0.000
0.000 0.000 0.500
0.335 0.335 0.338
0.346 0.346 0.812
0.654 0.654 0.188
0.665 0.665 0.662
0.107 0.107 0.810
0.893 0.893 0.190
0.000 0.381 0.197
0.000 0.619 0.803
0.244 0.244 0.514
0.322 0.678 0.500
0.381 0.000 0.197
0.420 0.420 0.158
0.580 0.580 0.842
0.619 0.000 0.803
0.678 0.322 0.500
0.756 0.756 0.486
```

Results
- space group = C2/m
- energy relative to the elements, uncorrected (meV per atom) = -622
- magnetic moment (μB per atom) = 0.000

---

# 14
Rb2CaI6F after structural relaxation. Source: Alexandria via LeMat-Bulk, functional PBE-GGA.

```
Rb2CaI6F
1.0
-4.022 4.022 6.795
4.022 -4.022 6.795
4.022 4.022 -6.795
Rb Ca I F
2 1 6 1
direct
0.250 0.750 0.500
0.750 0.250 0.500
0.000 0.000 0.000
0.226 0.226 0.000
0.271 0.271 0.542
0.271 0.729 0.000
0.729 0.271 0.000
0.729 0.729 0.458
0.774 0.774 0.000
0.500 0.500 0.000
```

Results
- space group = I4/mmm
- energy relative to the elements, uncorrected (meV per atom) = -951
- magnetic moment (μB per atom) = 0.168

---

# 15
CeDyOs after structural relaxation. Source: Alexandria via LeMat-Bulk, functional PBE-GGA.

```
CeDyOs
1.0
5.891 0.000 0.000
0.000 4.346 0.000
-2.161 0.000 6.164
Ce Dy Os
2 2 2
direct
0.001 0.250 0.180
0.999 0.750 0.820
0.430 0.250 0.695
0.570 0.750 0.305
0.139 0.750 0.430
0.861 0.250 0.570
```

Results
- space group = P2_1/m
- magnetic moment (μB per atom) = 0.028
- formation energy (eV/atom) = -0.25

---

# 16
Ba4NCl after structural relaxation. Source: Alexandria via LeMat-Bulk, functional PBE-GGA.

```
Ba4NCl
1.0
4.698 -10.013 0.000
4.698 10.013 0.000
-4.629 0.000 5.747
Ba N Cl
8 2 2
direct
0.040 0.395 0.224
0.157 0.281 0.660
0.281 0.157 0.160
0.395 0.040 0.724
0.605 0.960 0.276
0.719 0.843 0.840
0.843 0.719 0.340
0.960 0.605 0.776
0.110 0.890 0.750
0.890 0.110 0.250
0.440 0.560 0.250
0.560 0.440 0.750
```

Results
- space group = C2/c
- energy relative to the elements, uncorrected (meV per atom) = -781
- magnetic moment (μB per atom) = 0.097

---

# 17
CaTlIn6 after structural relaxation. Source: Alexandria via LeMat-Bulk, functional PBE-GGA.

```
CaTlIn6
1.0
6.834 0.000 0.000
0.000 6.834 0.000
0.000 0.000 4.702
Ca Tl In
1 1 6
direct
0.000 0.000 0.000
0.500 0.500 0.000
0.000 0.500 0.000
0.249 0.249 0.500
0.249 0.751 0.500
0.500 0.000 0.000
0.751 0.249 0.500
0.751 0.751 0.500
```

Results
- space group = P4/mmm
- magnetic moment (μB per atom) = 0.000
- formation energy (eV/atom) = -0.12

---

# 18
Ho3Cd2Cu after structural relaxation. Source: Alexandria via LeMat-Bulk, functional PBE-GGA.

```
Ho3Cd2Cu
1.0
3.564 0.000 0.000
0.000 3.564 0.000
0.000 0.000 11.396
Ho Cd Cu
3 2 1
direct
0.000 0.000 0.000
0.000 0.000 0.355
0.000 0.000 0.645
0.500 0.500 0.175
0.500 0.500 0.825
0.500 0.500 0.500
```

Results
- space group = P4/mmm
- magnetic moment (μB per atom) = 0.000
- formation energy (eV/atom) = -0.29

---

# 19
Zr2Nb2Re after structural relaxation. Source: Alexandria via LeMat-Bulk, functional PBE-GGA.

```
Zr2Nb2Re
1.0
6.631 0.000 0.000
0.000 6.631 0.000
0.000 0.000 4.715
Zr Nb Re
4 4 2
direct
0.168 0.332 0.000
0.332 0.832 0.000
0.668 0.168 0.000
0.832 0.668 0.000
0.148 0.648 0.500
0.352 0.148 0.500
0.648 0.852 0.500
0.852 0.352 0.500
0.000 0.000 0.500
0.500 0.500 0.500
```

Results
- space group = P4/mbm
- magnetic moment (μB per atom) = 0.000
- formation energy (eV/atom) = 0.20

---

# 20
CrBiTe after structural relaxation. Source: Alexandria via LeMat-Bulk, functional PBE-GGA.

```
CrBiTe
1.0
4.361 0.000 0.000
0.000 5.008 0.000
0.000 0.000 7.494
Cr Bi Te
2 2 2
direct
0.250 0.250 0.187
0.750 0.750 0.813
0.250 0.250 0.566
0.750 0.750 0.434
0.250 0.750 0.041
0.750 0.250 0.959
```

Results
- space group = Pmmn
- energy relative to the elements, uncorrected (meV per atom) = 243
- magnetic moment (μB per atom) = 1.017

---

# 21
Rb2LiTmI6 after structural relaxation. Source: Alexandria via LeMat-Bulk, functional PBE-GGA.

```
Rb2LiTmI6
1.0
4.207 2.429 14.131
-4.207 2.429 14.131
0.000 -4.858 14.131
Rb Li Tm I
4 2 2 12
direct
0.117 0.117 0.117
0.292 0.292 0.292
0.708 0.708 0.708
0.883 0.883 0.883
0.000 0.000 0.000
0.500 0.500 0.500
0.416 0.416 0.416
0.584 0.584 0.584
0.127 0.622 0.622
0.207 0.207 0.708
0.207 0.708 0.207
0.292 0.793 0.793
0.378 0.378 0.873
0.378 0.873 0.378
0.622 0.127 0.622
0.622 0.622 0.127
0.708 0.207 0.207
0.793 0.292 0.793
0.793 0.793 0.292
0.873 0.378 0.378
```

Results
- space group = R-3m
- energy relative to the elements, uncorrected (meV per atom) = -1382
- magnetic moment (μB per atom) = 0.000

---

# 22
Er8Pb2C after structural relaxation. Source: Alexandria via LeMat-Bulk, functional PBE-GGA.

```
Er8Pb2C
1.0
8.729 -2.771 0.000
8.729 2.771 0.000
-2.162 0.000 6.110
Er Pb C
8 2 1
direct
0.009 0.009 0.267
0.202 0.202 0.728
0.384 0.384 0.597
0.410 0.410 0.134
0.590 0.590 0.866
0.616 0.616 0.403
0.798 0.798 0.272
0.991 0.991 0.733
0.190 0.190 0.204
0.810 0.810 0.796
0.500 0.500 0.500
```

Results
- space group = C2/m
- magnetic moment (μB per atom) = 0.000
- formation energy (eV/atom) = -0.10

---

# 23
PrPa2Te4 after structural relaxation. Source: Alexandria via LeMat-Bulk, functional PBE-GGA.

```
PrPa2Te4
1.0
2.117 -6.940 0.000
2.117 6.940 0.000
0.000 0.000 15.615
Pr Pa Te
2 4 8
direct
0.101 0.899 0.750
0.899 0.101 0.250
0.352 0.648 0.560
0.352 0.648 0.940
0.648 0.352 0.060
0.648 0.352 0.440
0.000 0.000 0.000
0.000 0.000 0.500
0.289 0.711 0.131
0.289 0.711 0.369
0.428 0.572 0.750
0.572 0.428 0.250
0.711 0.289 0.631
0.711 0.289 0.869
```

Results
- space group = Cmcm
- energy relative to the elements, uncorrected (meV per atom) = -897
- magnetic moment (μB per atom) = 0.497